The following is a PBE-GGA calculation of a relaxed structure of Ba2HgF8, from Alexandria. Values from VASP.

Structure (Quantum ESPRESSO input):
```
&SYSTEM
  ibrav = 0, nat = 11, ntyp = 3
/
ATOMIC_SPECIES
Ba 137.33 Ba.upf
Hg 200.59 Hg.upf
F 19.00 F.upf
CELL_PARAMETERS angstrom
-2.375 2.727 6.869
2.375 -2.727 6.869
2.375 2.727 -6.869
ATOMIC_POSITIONS crystal
Ba 0.167 0.167 0.000
Ba 0.833 0.833 0.000
Hg 0.500 0.500 0.000
F 0.140 0.385 0.755
F 0.255 0.000 0.255
F 0.272 0.772 0.500
F 0.371 0.615 0.755
F 0.629 0.385 0.245
F 0.728 0.228 0.500
F 0.745 0.000 0.745
F 0.860 0.615 0.245
```

Results
**SG**: Immm
**E**: -4.261 eV per atom
**Energy relative to the elements, uncorrected**: -243.4 kJ/mol of atoms